1.
Below is a relaxed structure of K2CaAl, with properties calculated at the GGA-PBE level.

Structure (CIF):
```
data_K2CaAl
_chemical_formula_sum 'K4 Ca2 Al2'
_space_group_name_H-M_alt 'C m m m'
_space_group_IT_number 65
_space_group_name_Hall '-C 2 2'
_cell_length_a 6.9748
_cell_length_b 12.2656
_cell_length_c 3.9564
_cell_angle_alpha 90.00
_cell_angle_beta 90.00
_cell_angle_gamma 90.00
loop_
_atom_site_label
_atom_site_type_symbol
_atom_site_fract_x
_atom_site_fract_y
_atom_site_fract_z
K1 K 0.2500 0.2500 0.0000
Ca1 Ca 0.0000 0.0000 0.5000
Al1 Al 0.0000 0.5000 0.5000
```

* calculated formation energy: 36.2 kJ/mol of atoms
* V: 169.23 Å³/f.u.

---

2.
Below is a relaxed structure of Ni2AgRu2, with properties calculated at the GGA-PBE level.

Structure (CIF):
```
data_Ni2AgRu2
_chemical_formula_sum 'Ni4 Ag2 Ru4'
_space_group_name_H-M_alt 'I 4/m m m'
_space_group_IT_number 139
_space_group_name_Hall '-I 4 2'
_cell_length_a 3.7278
_cell_length_b 3.7278
_cell_length_c 10.8333
_cell_angle_alpha 90.00
_cell_angle_beta 90.00
_cell_angle_gamma 90.00
loop_
_atom_site_label
_atom_site_type_symbol
_atom_site_fract_x
_atom_site_fract_y
_atom_site_fract_z
Ni1 Ni 0.0000 0.5000 0.2500
Ag1 Ag 0.0000 0.0000 0.0000
Ru1 Ru 0.0000 0.0000 0.3941
```

* calculated formation energy: 57.6 kJ/mol of atoms
* V: 75.27 Å³/f.u.
* excess energy over the best structure of this formula in the dataset: 206 meV per atom

---

3.
Below is a relaxed structure of Ce4PIrI2, with properties calculated at the GGA-PBE level.

Structure (CIF):
```
data_Ce4PIrI2
_chemical_formula_sum 'Ce4 P1 Ir1 I2'
_space_group_name_H-M_alt 'P 1 2/m 1'
_space_group_IT_number 10
_cell_length_a 7.4317
_cell_length_b 4.1184
_cell_length_c 7.9843
_cell_angle_alpha 90.00
_cell_angle_beta 106.98
_cell_angle_gamma 90.00
loop_
_space_group_symop_operation_xyz
'x,y,z'
'-x,-y,-z'
'-x,y,-z'
'x,-y,z'
loop_
_atom_site_label
_atom_site_type_symbol
_atom_site_fract_x
_atom_site_fract_y
_atom_site_fract_z
Ce1 Ce 0.2240 0.0000 0.1895
Ce2 Ce 0.2679 0.5000 0.8028
P1 P 0.5000 0.0000 0.0000
Ir1 Ir 0.0000 0.5000 0.0000
I1 I 0.0000 0.0000 0.5000
I2 I 0.5000 0.5000 0.5000
```

* raw total energy: -6.182 eV per atom
* V: 233.72 Å³/f.u.

---

4.
Below is a relaxed structure of PuAg2Cl8, with properties calculated at the GGA-PBE level.

Structure (CIF):
```
data_PuAg2Cl8
_chemical_formula_sum 'Pu4 Ag8 Cl32'
_space_group_name_H-M_alt 'C 1 2/c 1'
_space_group_IT_number 15
_cell_length_a 15.7903
_cell_length_b 9.4640
_cell_length_c 11.3787
_cell_angle_alpha 90.00
_cell_angle_beta 125.88
_cell_angle_gamma 90.00
loop_
_space_group_symop_operation_xyz
'x,y,z'
'-x,-y,-z'
'-x,y,-z+1/2'
'x,-y,z+1/2'
'x+1/2,y+1/2,z'
'-x+1/2,-y+1/2,-z'
'-x+1/2,y+1/2,-z+1/2'
'x+1/2,-y+1/2,z+1/2'
loop_
_atom_site_label
_atom_site_type_symbol
_atom_site_fract_x
_atom_site_fract_y
_atom_site_fract_z
Pu1 Pu 0.0000 0.2479 0.2500
Ag1 Ag 0.1698 0.0028 0.5539
Cl1 Cl 0.1044 0.2462 0.5316
Cl2 Cl 0.1196 0.0549 0.2633
Cl3 Cl 0.1196 0.4381 0.2671
Cl4 Cl 0.1857 0.2485 0.0395
```

* V: 344.45 Å³/f.u.
* excess energy over the best structure of this formula in the dataset: 0 meV per atom

---

5.
Below is a relaxed structure of InSbMo4, with properties calculated at the GGA-PBE level.

Structure (CIF):
```
data_InSbMo4
_chemical_formula_sum 'In4 Sb4 Mo16'
_space_group_name_H-M_alt 'F -4 3 m'
_space_group_IT_number 216
_space_group_name_Hall 'F -4 2 3'
_cell_length_a 7.6028
_cell_length_b 7.6028
_cell_length_c 7.6028
_cell_angle_alpha 90.00
_cell_angle_beta 90.00
_cell_angle_gamma 90.00
loop_
_atom_site_label
_atom_site_type_symbol
_atom_site_fract_x
_atom_site_fract_y
_atom_site_fract_z
In1 In 0.0000 0.0000 0.0000
Sb1 Sb 0.2500 0.2500 0.2500
Mo1 Mo 0.1255 0.1255 0.6255
```

* raw total energy: -7.927 eV per atom
* V: 109.87 Å³/f.u.

---

6.
Below is a relaxed structure of YCr2IrPd, with properties calculated at the GGA-PBE level.

Structure (CIF):
```
data_YCr2IrPd
_chemical_formula_sum 'Y1 Cr2 Ir1 Pd1'
_space_group_name_H-M_alt 'P 4/m m m'
_space_group_IT_number 123
_space_group_name_Hall '-P 4 2'
_cell_length_a 4.5032
_cell_length_b 4.5032
_cell_length_c 4.8824
_cell_angle_alpha 90.00
_cell_angle_beta 90.00
_cell_angle_gamma 90.00
loop_
_atom_site_label
_atom_site_type_symbol
_atom_site_fract_x
_atom_site_fract_y
_atom_site_fract_z
Y1 Y 0.0000 0.0000 0.0000
Cr1 Cr 0.0000 0.5000 0.0000
Ir1 Ir 0.0000 0.0000 0.5000
Pd1 Pd 0.5000 0.5000 0.5000
```

* calculated formation energy: 219.9 kJ/mol of atoms
* V: 99.01 Å³/f.u.

---

7.
Below is a relaxed structure of Ac3Sc2ZnO9, with properties calculated at the GGA-PBE level.

Structure (CIF):
```
data_Ac3Sc2ZnO9
_chemical_formula_sum 'Ac3 Sc2 Zn1 O9'
_space_group_name_H-M_alt 'P -3 m 1'
_space_group_IT_number 164
_space_group_name_Hall '-P 3 2"'
_cell_length_a 5.7751
_cell_length_b 5.7751
_cell_length_c 7.0980
_cell_angle_alpha 90.00
_cell_angle_beta 90.00
_cell_angle_gamma 120.00
loop_
_atom_site_label
_atom_site_type_symbol
_atom_site_fract_x
_atom_site_fract_y
_atom_site_fract_z
Ac1 Ac 0.0000 0.0000 0.0000
Ac2 Ac 0.3333 0.6667 0.6549
Sc1 Sc 0.3333 0.6667 0.1669
Zn1 Zn 0.0000 0.0000 0.5000
O1 O 0.0000 0.5000 0.0000
O2 O 0.1663 0.3327 0.3364
```

* raw total energy: -7.686 eV per atom
* V: 205.02 Å³/f.u.

---

8.
Below is a relaxed structure of Pm3Sm6Y2Pu, with properties calculated at the GGA-PBE level.

Structure (CIF):
```
data_Pm3Sm6Y2Pu
_chemical_formula_sum 'Pm6 Sm12 Y4 Pu2'
_space_group_name_H-M_alt 'C 1 2/m 1'
_space_group_IT_number 12
_cell_length_a 6.2549
_cell_length_b 10.8421
_cell_length_c 11.9196
_cell_angle_alpha 90.00
_cell_angle_beta 100.14
_cell_angle_gamma 90.00
loop_
_space_group_symop_operation_xyz
'x,y,z'
'-x,-y,-z'
'-x,y,-z'
'x,-y,z'
'x+1/2,y+1/2,z'
'-x+1/2,-y+1/2,-z'
'-x+1/2,y+1/2,-z'
'x+1/2,-y+1/2,z'
loop_
_atom_site_label
_atom_site_type_symbol
_atom_site_fract_x
_atom_site_fract_y
_atom_site_fract_z
Pm1 Pm 0.0000 0.0000 0.0000
Pm2 Pm 0.0000 0.3334 0.0000
Sm1 Sm 0.2462 0.3355 0.7459
Sm2 Sm 0.2472 0.5000 0.2541
Y1 Y 0.0000 0.1665 0.5000
Pu1 Pu 0.0000 0.5000 0.5000
```

* calculated formation energy: 4.8 kJ/mol of atoms
* V: 397.86 Å³/f.u.

---

9.
Below is a relaxed structure of CoMoW3, with properties calculated at the GGA-PBE level.

Structure (CIF):
```
data_CoMoW3
_chemical_formula_sum 'Co1 Mo1 W3'
_space_group_name_H-M_alt 'P m -3 m'
_space_group_IT_number 221
_space_group_name_Hall '-P 4 2 3'
_cell_length_a 4.4298
_cell_length_b 4.4298
_cell_length_c 4.4298
_cell_angle_alpha 90.00
_cell_angle_beta 90.00
_cell_angle_gamma 90.00
loop_
_atom_site_label
_atom_site_type_symbol
_atom_site_fract_x
_atom_site_fract_y
_atom_site_fract_z
Co1 Co 0.0000 0.0000 0.0000
Mo1 Mo 0.5000 0.5000 0.5000
W1 W 0.0000 0.0000 0.5000
```

* calculated formation energy: 137.9 kJ/mol of atoms
* V: 86.92 Å³/f.u.
* excess energy over the best structure of this formula in the dataset: 0 meV per atom

---

10.
Below is a relaxed structure of La7Mg2Tl2, with properties calculated at the GGA-PBE level.

Structure (CIF):
```
data_La7Mg2Tl2
_chemical_formula_sum 'La14 Mg4 Tl4'
_space_group_name_H-M_alt 'C m m m'
_space_group_IT_number 65
_space_group_name_Hall '-C 2 2'
_cell_length_a 8.2590
_cell_length_b 11.8325
_cell_length_c 8.0797
_cell_angle_alpha 90.00
_cell_angle_beta 90.00
_cell_angle_gamma 90.00
loop_
_atom_site_label
_atom_site_type_symbol
_atom_site_fract_x
_atom_site_fract_y
_atom_site_fract_z
La1 La 0.0000 0.0000 0.0000
La2 La 0.0000 0.5000 0.2655
La3 La 0.2500 0.2500 0.3047
Mg1 Mg 0.1650 0.0000 0.5000
Tl1 Tl 0.0000 0.2866 0.0000
```

* calculated formation energy: 4.1 kJ/mol of atoms
* V: 394.79 Å³/f.u.

---

11.
Below is a relaxed structure of LaPrTe, with properties calculated at the GGA-PBE level.

Structure (CIF):
```
data_LaPrTe
_chemical_formula_sum 'La4 Pr4 Te4'
_space_group_name_H-M_alt 'P n m a'
_space_group_IT_number 62
_cell_length_a 8.0212
_cell_length_b 5.8728
_cell_length_c 8.6421
_cell_angle_alpha 90.00
_cell_angle_beta 90.00
_cell_angle_gamma 90.00
loop_
_space_group_symop_operation_xyz
'x,y,z'
'-x,-y,-z'
'-x+1/2,-y,z+1/2'
'x+1/2,y,-z+1/2'
'x+1/2,-y+1/2,-z+1/2'
'-x+1/2,y+1/2,z+1/2'
'-x,y+1/2,-z'
'x,-y+1/2,z'
loop_
_atom_site_label
_atom_site_type_symbol
_atom_site_fract_x
_atom_site_fract_y
_atom_site_fract_z
La1 La 0.0814 0.2500 0.1312
Pr1 Pr 0.1225 0.7500 0.3442
Te1 Te 0.2229 0.2500 0.4950
```

* V: 101.77 Å³/f.u.
* excess energy over the best structure of this formula in the dataset: 103 meV per atom

---

12.
Below is a relaxed structure of Er2RhI, with properties calculated at the GGA-PBE level.

Structure (CIF):
```
data_Er2RhI
_chemical_formula_sum 'Er6 Rh3 I3'
_space_group_name_H-M_alt 'R 3 m'
_space_group_IT_number 160
_space_group_name_Hall 'R 3 -2"'
_cell_length_a 4.0495
_cell_length_b 4.0495
_cell_length_c 23.6453
_cell_angle_alpha 90.00
_cell_angle_beta 90.00
_cell_angle_gamma 120.00
loop_
_atom_site_label
_atom_site_type_symbol
_atom_site_fract_x
_atom_site_fract_y
_atom_site_fract_z
Er1 Er 0.0000 0.0000 0.0000
Er2 Er 0.0000 0.0000 0.2138
Rh1 Rh 0.0000 0.0000 0.6065
I1 I 0.0000 0.0000 0.4374
```

* V: 111.93 Å³/f.u.
* excess energy over the best structure of this formula in the dataset: 10 meV per atom

---

13.
Below is a relaxed structure of Ce2Th3PaP6, with properties calculated at the GGA-PBE level.

Structure (CIF):
```
data_Ce2Th3PaP6
_chemical_formula_sum 'Ce4 Th6 Pa2 P12'
_space_group_name_H-M_alt 'C 1 2/m 1'
_space_group_IT_number 12
_cell_length_a 7.0998
_cell_length_b 12.2955
_cell_length_c 7.0750
_cell_angle_alpha 90.00
_cell_angle_beta 109.55
_cell_angle_gamma 90.00
loop_
_space_group_symop_operation_xyz
'x,y,z'
'-x,-y,-z'
'-x,y,-z'
'x,-y,z'
'x+1/2,y+1/2,z'
'-x+1/2,-y+1/2,-z'
'-x+1/2,y+1/2,-z'
'x+1/2,-y+1/2,z'
loop_
_atom_site_label
_atom_site_type_symbol
_atom_site_fract_x
_atom_site_fract_y
_atom_site_fract_z
Ce1 Ce 0.0000 0.1664 0.0000
Th1 Th 0.0000 0.0000 0.5000
Th2 Th 0.0000 0.3314 0.5000
Pa1 Pa 0.0000 0.5000 0.0000
P1 P 0.2440 0.3363 0.2413
P2 P 0.2460 0.5000 0.7568
```

* calculated formation energy: -145.1 kJ/mol of atoms
* V: 290.99 Å³/f.u.

---

14.
Below is a relaxed structure of TaTiO4, with properties calculated at the GGA-PBE level.

Structure (CIF):
```
data_TaTiO4
_chemical_formula_sum 'Ta2 Ti2 O8'
_space_group_name_H-M_alt 'C m m m'
_space_group_IT_number 65
_space_group_name_Hall '-C 2 2'
_cell_length_a 6.6804
_cell_length_b 6.8163
_cell_length_c 3.0278
_cell_angle_alpha 90.00
_cell_angle_beta 90.00
_cell_angle_gamma 90.00
loop_
_atom_site_label
_atom_site_type_symbol
_atom_site_fract_x
_atom_site_fract_y
_atom_site_fract_z
Ta1 Ta 0.0000 0.0000 0.0000
Ti1 Ti 0.0000 0.5000 0.5000
O1 O 0.0000 0.1988 0.5000
O2 O 0.1990 0.5000 0.0000
```

* raw total energy: -9.438 eV per atom
* V: 68.94 Å³/f.u.

---

15.
Below is a relaxed structure of Dy2YHgO, with properties calculated at the GGA-PBE level.

Structure (CIF):
```
data_Dy2YHgO
_chemical_formula_sum 'Dy2 Y1 Hg1 O1'
_space_group_name_H-M_alt 'P 4/m m m'
_space_group_IT_number 123
_space_group_name_Hall '-P 4 2'
_cell_length_a 4.7607
_cell_length_b 4.7607
_cell_length_c 4.7800
_cell_angle_alpha 90.00
_cell_angle_beta 90.00
_cell_angle_gamma 90.00
loop_
_atom_site_label
_atom_site_type_symbol
_atom_site_fract_x
_atom_site_fract_y
_atom_site_fract_z
Dy1 Dy 0.0000 0.5000 0.0000
Y1 Y 0.0000 0.0000 0.5000
Hg1 Hg 0.5000 0.5000 0.5000
O1 O 0.0000 0.0000 0.0000
```

* raw total energy: -5.581 eV per atom
* V: 108.33 Å³/f.u.

---

16.
Below is a relaxed structure of HoSc2Hg2, with properties calculated at the GGA-PBE level.

Structure (CIF):
```
data_HoSc2Hg2
_chemical_formula_sum 'Ho1 Sc2 Hg2'
_space_group_name_H-M_alt 'P -3 m 1'
_space_group_IT_number 164
_space_group_name_Hall '-P 3 2"'
_cell_length_a 4.9763
_cell_length_b 4.9763
_cell_length_c 6.0770
_cell_angle_alpha 90.00
_cell_angle_beta 90.00
_cell_angle_gamma 120.00
loop_
_atom_site_label
_atom_site_type_symbol
_atom_site_fract_x
_atom_site_fract_y
_atom_site_fract_z
Ho1 Ho 0.0000 0.0000 0.0000
Sc1 Sc 0.3333 0.6667 0.6555
Hg1 Hg 0.3333 0.6667 0.1850
```

* calculated formation energy: -18.5 kJ/mol of atoms
* V: 130.32 Å³/f.u.
* excess energy over the best structure of this formula in the dataset: 161 meV per atom

---

17.
Below is a relaxed structure of Sn2SbAs, with properties calculated at the GGA-PBE level.

Structure (CIF):
```
data_Sn2SbAs
_chemical_formula_sum 'Sn6 Sb3 As3'
_space_group_name_H-M_alt 'R 3 m'
_space_group_IT_number 160
_space_group_name_Hall 'R 3 -2"'
_cell_length_a 4.2639
_cell_length_b 4.2639
_cell_length_c 28.5472
_cell_angle_alpha 90.00
_cell_angle_beta 90.00
_cell_angle_gamma 120.00
loop_
_atom_site_label
_atom_site_type_symbol
_atom_site_fract_x
_atom_site_fract_y
_atom_site_fract_z
Sn1 Sn 0.0000 0.0000 0.0000
Sn2 Sn 0.0000 0.0000 0.4856
Sb1 Sb 0.0000 0.0000 0.1000
As1 As 0.0000 0.0000 0.6258
```

* V: 149.83 Å³/f.u.
* excess energy over the best structure of this formula in the dataset: 57 meV per atom

---

18.
Below is a relaxed structure of BaZnSi2, with properties calculated at the GGA-PBE level.

Structure (CIF):
```
data_BaZnSi2
_chemical_formula_sum 'Ba2 Zn2 Si4'
_space_group_name_H-M_alt 'I m m 2'
_space_group_IT_number 44
_cell_length_a 3.9216
_cell_length_b 6.3656
_cell_length_c 8.4159
_cell_angle_alpha 90.00
_cell_angle_beta 90.00
_cell_angle_gamma 90.00
loop_
_space_group_symop_operation_xyz
'x,y,z'
'-x,-y,z'
'-x,y,z'
'x,-y,z'
'x+1/2,y+1/2,z+1/2'
'-x+1/2,-y+1/2,z+1/2'
'-x+1/2,y+1/2,z+1/2'
'x+1/2,-y+1/2,z+1/2'
loop_
_atom_site_label
_atom_site_type_symbol
_atom_site_fract_x
_atom_site_fract_y
_atom_site_fract_z
Ba1 Ba 0.0000 0.0000 0.0000
Zn1 Zn 0.0000 0.5000 0.8225
Si1 Si 0.0000 0.0000 0.5194
Si2 Si 0.0000 0.5000 0.1791
```

* raw total energy: -3.473 eV per atom
* V: 105.04 Å³/f.u.

---

19.
Below is a relaxed structure of Ba3Na2Ag2Au4, with properties calculated at the GGA-PBE level.

Structure (CIF):
```
data_Ba3Na2Ag2Au4
_chemical_formula_sum 'Ba3 Na2 Ag2 Au4'
_space_group_name_H-M_alt 'P -3 m 1'
_space_group_IT_number 164
_space_group_name_Hall '-P 3 2"'
_cell_length_a 4.8901
_cell_length_b 4.8901
_cell_length_c 16.4839
_cell_angle_alpha 90.00
_cell_angle_beta 90.00
_cell_angle_gamma 120.00
loop_
_atom_site_label
_atom_site_type_symbol
_atom_site_fract_x
_atom_site_fract_y
_atom_site_fract_z
Ba1 Ba 0.0000 0.0000 0.0000
Ba2 Ba 0.0000 0.0000 0.2598
Na1 Na 0.3333 0.6667 0.5588
Ag1 Ag 0.3333 0.6667 0.1333
Au1 Au 0.3333 0.6667 0.3713
Au2 Au 0.3333 0.6667 0.8699
```

* calculated formation energy: -45.2 kJ/mol of atoms
* V: 341.38 Å³/f.u.

---

20.
Below is a relaxed structure of LaPrCu2Si2, with properties calculated at the GGA-PBE level.

Structure (CIF):
```
data_LaPrCu2Si2
_chemical_formula_sum 'La1 Pr1 Cu2 Si2'
_space_group_name_H-M_alt 'P -3 m 1'
_space_group_IT_number 164
_space_group_name_Hall '-P 3 2"'
_cell_length_a 4.2453
_cell_length_b 4.2453
_cell_length_c 8.1210
_cell_angle_alpha 90.00
_cell_angle_beta 90.00
_cell_angle_gamma 120.00
loop_
_atom_site_label
_atom_site_type_symbol
_atom_site_fract_x
_atom_site_fract_y
_atom_site_fract_z
La1 La 0.0000 0.0000 0.0000
Pr1 Pr 0.0000 0.0000 0.5000
Cu1 Cu 0.3333 0.6667 0.2558
Si1 Si 0.3333 0.6667 0.7466
```

* raw total energy: -5.401 eV per atom
* V: 126.75 Å³/f.u.

---

| no. | M_tot (μB per formula unit) |
| --- | --- |
| 1 | 0.0 |
| 2 | 1.1 |
| 3 | 3.8 |
| 4 | 1.9 |
| 5 | 0.0 |
| 6 | 0.0 |
| 7 | 0.9 |
| 8 | 6.7 |
| 9 | 0.0 |
| 10 | 0.0 |
| 11 | 0.0 |
| 12 | 0.0 |
| 13 | 0.4 |
| 14 | 0.8 |
| 15 | 0.0 |
| 16 | 0.0 |
| 17 | 0.0 |
| 18 | 0.0 |
| 19 | 0.0 |
| 20 | 0.0 |